! YPb2Br (GGA-PBE, optimized geometry); values from VASP
&SYSTEM
  ibrav = 0, nat = 4, ntyp = 3
/
ATOMIC_SPECIES
Y 88.91 Y.upf
Pb 207.20 Pb.upf
Br 79.90 Br.upf
CELL_PARAMETERS angstrom
-0.768 3.798 -3.902
-4.946 0.585 -2.332
-3.031 4.462 1.065
ATOMIC_POSITIONS angstrom
Y -6.559 6.634 -3.876
Pb 0.000 0.000 0.000
Pb -2.186 2.211 -1.292
Br -4.372 4.423 -2.584
! M_tot ... 0.0 μB/cell
! E_tot ... -17.1 eV/f.u.
! ΔE_f (raw) ... -0.385 eV per atom
! Polymorph energy (0 for the lowest one) ... 198 meV/atom
! DOS(E_F) ... 1.725 states/eV per cell
! Symmetry ... F-43m, No. 216